## LiIrRh2 (PBE)

Data for crystalline LiIrRh2 at its relaxed geometry.

Output
Density of states at the Fermi level = 3.7 states/eV per cell
Energy = -6.391 eV per atom
Space group = No. 123
Formation enthalpy at 0 K = -0.022 eV per atom

a = 2.768 Å, b = 2.768 Å, c = 7.106 Å
α = 90.00°, β = 90.00°, γ = 90.00°
Fractional positions:
1 Li 0.000 0.000 0.000
2 Ir 0.000 0.000 0.500
3 Rh 0.500 0.500 0.242
4 Rh 0.500 0.500 0.758


## YCuNi3 (PBE)

Data for crystalline YCuNi3 at its relaxed geometry.

Output
Density of states at the Fermi level = 2.3 states/eV per cell
Energy = -4.124 eV per atom
Space group = No. 221
Formation enthalpy at 0 K = 1.457 eV per atom

a = 4.649 Å, b = 4.649 Å, c = 4.649 Å
α = 90.00°, β = 90.00°, γ = 90.00°
Fractional positions:
1 Y 0.000 0.000 0.000
2 Cu 0.500 0.500 0.500
3 Ni 0.000 0.000 0.500
4 Ni 0.000 0.500 0.000
5 Ni 0.500 0.000 0.000


## PmSnPd (PBE)

Data for crystalline PmSnPd at its relaxed geometry.

Output
Density of states at the Fermi level = 7.4 states/eV per cell
Energy = -5.355 eV per atom
Space group = No. 62
Formation enthalpy at 0 K = -0.706 eV per atom

a = 8.364 Å, b = 5.307 Å, c = 6.739 Å
α = 90.00°, β = 90.00°, γ = 90.00°
Fractional positions:
1 Pm 0.202 0.250 0.166
2 Pm 0.298 0.750 0.666
3 Pm 0.702 0.250 0.334
4 Pm 0.798 0.750 0.834
5 Sn 0.056 0.250 0.629
6 Sn 0.444 0.750 0.129
7 Sn 0.556 0.250 0.871
8 Sn 0.944 0.750 0.371
9 Pd 0.110 0.750 0.034
10 Pd 0.390 0.250 0.534
11 Pd 0.610 0.750 0.466
12 Pd 0.890 0.250 0.966


## Pm4Y3Tm2 (PBE)

Data for crystalline Pm4Y3Tm2 at its relaxed geometry.

Output
Density of states at the Fermi level = 13.4 states/eV per cell
Energy = -5.238 eV per atom
Space group = No. 12
Formation enthalpy at 0 K = 0.022 eV per atom

a = 8.025 Å, b = 8.025 Å, c = 8.025 Å
α = 107.42°, β = 107.42°, γ = 36.84°
Fractional positions:
1 Pm 0.055 0.055 0.331
2 Pm 0.277 0.277 0.669
3 Pm 0.723 0.723 0.331
4 Pm 0.945 0.945 0.669
5 Y 0.388 0.388 0.331
6 Y 0.500 0.500 0.000
7 Y 0.612 0.612 0.669
8 Tm 0.168 0.168 0.000
9 Tm 0.832 0.832 0.000


## TaCuSi2 (PBE)

Data for crystalline TaCuSi2 at its relaxed geometry.

Output
Density of states at the Fermi level = 2.0 states/eV per cell
Energy = -6.810 eV per atom
Raw formation energy = -43 kJ/mol of formula units
Space group = No. 99

a = 3.381 Å, b = 3.381 Å, c = 5.127 Å
α = 90.00°, β = 90.00°, γ = 90.00°
Fractional positions:
1 Ta 0.000 0.000 0.000
2 Cu 0.500 0.500 0.302
3 Si 0.000 0.000 0.501
4 Si 0.500 0.500 0.784


## Ac6HRh2Br3 (PBE)

Data for crystalline Ac6HRh2Br3 at its relaxed geometry.

Output
Density of states at the Fermi level = 8.1 states/eV per cell
Energy = -4.966 eV per atom
Space group = No. 12

a = 7.435 Å, b = 7.435 Å, c = 8.670 Å
α = 98.28°, β = 98.28°, γ = 119.97°
Fractional positions:
1 Ac 0.099 0.435 0.806
2 Ac 0.228 0.228 0.194
3 Ac 0.435 0.099 0.806
4 Ac 0.565 0.901 0.194
5 Ac 0.772 0.772 0.806
6 Ac 0.901 0.565 0.194
7 H 0.500 0.500 0.000
8 Rh 0.166 0.834 0.000
9 Rh 0.834 0.166 0.000
10 Br 0.000 0.000 0.500
11 Br 0.328 0.672 0.500
12 Br 0.672 0.328 0.500


Number 1: total moment 0.000 Bohr magnetons per cell. Number 2: total moment 0.000 Bohr magnetons per cell. Number 3: total moment 0.000 Bohr magnetons per cell. Number 4: total moment 0.000 Bohr magnetons per cell. Number 5: total moment 0.000 Bohr magnetons per cell. Number 6: total moment 0.000 Bohr magnetons per cell.